No. 1
Below is crystalline SrWCl2 at its relaxed geometry, with properties calculated at the GGA-PBE level.

Properties
As for the uncorrected formation energy: 68 meV per atom.

Structure (POSCAR):
```
SrWCl2
1.0
-0.088 -0.710 11.264
2.789 -3.050 10.502
3.394 0.679 10.742
Cl Sr W
2 1 1
direct
0.970 0.970 0.970 Cl
0.530 0.530 0.530 Cl
0.250 0.250 0.250 Sr
0.750 0.750 0.750 W
```

No. 2
Below is crystalline SrWCl2 at its relaxed geometry, with properties calculated at the GGA-PBE level.

Properties
As for the uncorrected formation energy: -127 meV per atom.

Structure (POSCAR):
```
SrWCl2
1.0
-3.603 -1.234 2.753
-1.478 -1.359 -2.543
1.088 -6.299 -1.400
W Cl Sr
1 2 1
direct
0.500 0.798 0.827 W
0.500 0.353 0.272 Cl
0.000 0.699 0.926 Cl
0.000 0.650 0.475 Sr
```

No. 3
Below is crystalline SrWCl2 at its relaxed geometry, with properties calculated at the GGA-PBE level.

Properties
As for the uncorrected formation energy: 47 meV per atom.

Structure (POSCAR):
```
SrWCl2
1.0
3.241 0.000 0.000
0.000 6.403 0.000
0.000 0.000 4.583
Cl W Sr
2 1 1
direct
0.000 0.000 0.000 Cl
0.500 0.500 0.000 Cl
0.000 0.500 0.500 W
0.500 0.000 0.500 Sr
```

No. 4
Below is crystalline Sr2WCl at its relaxed geometry, with properties calculated at the GGA-PBE level.

Properties
As for the uncorrected formation energy: 919 meV per atom.

Structure (POSCAR):
```
Sr2WCl
1.0
5.531 0.000 0.000
2.765 4.790 0.000
2.765 1.597 4.516
Cl Sr W
1 2 1
direct
0.500 0.500 0.500 Cl
0.250 0.250 0.250 Sr
0.000 0.000 0.000 Sr
0.750 0.750 0.750 W
```

| no. | total DFT energy (no corrections) (eV per atom) |
| --- | --- |
| 1 | -4.514 |
| 2 | -4.709 |
| 3 | -4.536 |
| 4 | -3.622 |